## Pr4Ga2Sb (PBE-GGA)

Data for a relaxed Pr4Ga2Sb crystal.

Cell lengths 9.420, 9.420, 9.400 Å; angles 90.00, 90.00, 90.00 degrees
Space group I-42d (No. 122)
Symmetry-distinct sites (fractional):
Pr: 0.070 0.176 0.310 [16 per cell]
Ga: 0.127 0.250 0.625 [8 per cell]
Sb: 0.000 0.000 0.000 [4 per cell]

Summary:
Size of the total moment (μB per atom): 0.0000
E_form (uncorrected) (eV/f.u.): -4.56